ZrMn2In | GGA-PBE | optimized geometry

Values from the calculation:
E_form   0.7 eV/f.u.
Density   7171 kg/m3

Lattice parameters (Å, degrees): 4.905 4.905 5.180 101.66 101.66 36.92
Positions (direct):
Zr 0.000 0.000 0.000
Mn 0.249 0.249 0.754
Mn 0.751 0.751 0.246
In 0.500 0.500 0.500